Record 1
The following is a DFT calculation (GGA-PBEsol) of an optimized crystal structure of Si2BiMo.

Calculated values
Total magnetization in μB/atom: 0.19
Formation energy without anion corrections in meV per atom: 562
D(E_F) in states/eV per cell: 6.80
Space-group type: I-42d (122)
Theoretical density in Mg/m³: 7.16
Final energy in Ry/atom: -0.4649

Lattice parameters (Å, degrees): 4.452 4.452 9.023 104.28 104.28 90.00
Fractional coordinates of all 8 atoms:
Si  0.508  0.875  0.250
Si  0.625  0.492  0.750
Mo  0.500  0.500  0.000
Si  0.125  0.258  0.750
Mo  0.750  0.250  0.500
Bi  0.000  0.000  0.000
Bi  0.250  0.750  0.500
Si  0.742  0.375  0.250

Record 2
The following is a DFT calculation (GGA-PBEsol) of an optimized crystal structure of Sr3BiMo.

Calculated values
Total magnetization in μB/atom: 0.00
D(E_F) in states/eV per cell: 5.03
Space-group type: Pm-3m (221)
Theoretical density in Mg/m³: 5.52
Energy relative to the elements in eV/atom: 0.61
Final energy in Ry/atom: -0.2727

Lattice parameters (Å, degrees): 5.549 5.549 5.549 90.00 90.00 90.00
Fractional coordinates of all 5 atoms:
Bi  0.500  0.500  0.500
Mo  0.000  0.000  0.000
Sr  0.500  0.000  0.000
Sr  0.000  0.000  0.500
Sr  0.000  0.500  0.000

Record 3
The following is a DFT calculation (GGA-PBEsol) of an optimized crystal structure of SrBiMo3.

Calculated values
Total magnetization in μB/atom: 0.00
D(E_F) in states/eV per cell: 7.09
Space-group type: Pm-3m (221)
Theoretical density in Mg/m³: 7.38
Energy relative to the elements in eV/atom: 2.07
Final energy in Ry/atom: -0.4567

Lattice parameters (Å, degrees): 5.086 5.086 5.086 90.00 90.00 90.00
Fractional coordinates of all 5 atoms:
Mo  0.500  0.000  0.000
Sr  0.500  0.500  0.500
Mo  0.000  0.000  0.500
Bi  0.000  0.000  0.000
Mo  0.000  0.500  0.000

Record 4
The following is a DFT calculation (GGA-PBEsol) of an optimized crystal structure of SrBi3Mo.

Calculated values
Total magnetization in μB/atom: 0.91
D(E_F) in states/eV per cell: 4.42
Space-group type: Pm-3m (221)
Theoretical density in Mg/m³: 6.62
Energy relative to the elements in eV/atom: 1.63
Final energy in Ry/atom: -0.2689

Lattice parameters (Å, degrees): 5.880 5.880 5.880 90.00 90.00 90.00
Fractional coordinates of all 5 atoms:
Sr  0.000  0.000  0.000
Bi  0.000  0.000  0.500
Bi  0.000  0.500  0.000
Bi  0.500  0.000  0.000
Mo  0.500  0.500  0.500